Compound: MnTlFeF6
Source: Alexandria
Functional: PBE+U
Structure: optimized geometry

Properties
* size of the total moment: 12.00 μB per cell
* electronic total energy: -5.156 eV per atom

a b c (Å): 5.4582 5.4582 11.9667
angles (deg): 90.00 90.00 120.00
Space group P-31c (No. 163)
Asymmetric unit:
Mn1 0.3333 0.6667 0.2500 [2 per cell]
Tl1 0.0000 0.0000 0.0000 [2 per cell]
Fe1 0.3333 0.6667 0.7500 [2 per cell]
F1 0.0248 0.3896 0.1608 [12 per cell]